Below is an optimized crystal structure of Na3CrF, with properties calculated at the PBE with a Hubbard U level.

Cell and atoms, written as CIF:
```
data_Na3CrF
_chemical_formula_sum 'Na3 Cr1 F1'
_cell_length_a 5.8006
_cell_length_b 5.8006
_cell_length_c 5.8006
_cell_angle_alpha 90.00
_cell_angle_beta 90.00
_cell_angle_gamma 90.00
_space_group_name_H-M_alt 'P m -3 m'
_space_group_IT_number 221
_space_group_name_Hall '-P 4 2 3'
loop_
_atom_site_label
_atom_site_fract_x
_atom_site_fract_y
_atom_site_fract_z
_atom_site_occupancy
Na1 0.0000 0.0000 0.5000 1
Cr1 0.0000 0.0000 0.0000 1
F1 0.5000 0.5000 0.5000 1
```

Output
Total energy, eV per atom: -2.64
DOS at the Fermi energy, states/eV/atom: 0.4189
Relative energy among the computed polymorphs, meV per atom: 736